GGA-PBE TaZn2InRu, optimized geometry; ΔE_f = 596 meV/atom
1.0
-0.529 -4.374 1.888
4.475 -1.080 -1.247
1.571 1.633 4.224
Zn Ru In Ta
2 1 1 1
Cartesian
0.786 0.817 2.112 Zn
-0.265 -2.187 0.944 Zn
0.000 0.000 0.000 Ru
2.758 -1.910 2.433 In
2.237 -0.540 -0.623 Ta


GGA-PBE BeRhAu2, optimized geometry; ΔE_f = -155 meV/atom
1.0
-1.505 2.269 -1.448
-2.536 -1.430 0.394
-2.140 2.363 5.926
Be Au Rh
1 2 1
Cartesian
-1.917 0.910 3.418 Be
-2.277 2.202 5.817 Au
-2.424 1.210 1.130 Au
-4.042 1.708 3.593 Rh


GGA-PBE La2CoCuH, optimized geometry; E above lowest polymorph = 51 meV per atom
1.0
5.159 0.000 0.000
0.000 5.159 0.000
0.000 0.000 3.529
Co La H Cu
1 2 1 1
Cartesian
0.000 0.000 1.764 Co
2.580 0.000 0.000 La
0.000 2.580 0.000 La
0.000 0.000 0.000 H
2.580 2.580 1.764 Cu


GGA-PBE PaPbO2, optimized geometry; formation energy without anion corrections = -2.293 eV per atom
1.0
-2.038 -1.779 -2.473
1.518 -2.590 -2.104
-1.903 -6.686 3.662
O Pa Pb
2 1 1
Cartesian
-1.192 -6.398 -2.564 O
-1.232 -4.657 1.649 O
-1.212 -5.528 -0.458 Pa
0.000 0.000 0.000 Pb


Going through the records in order, we get energy values of -23.43 -18.25 -25.35 -32.29 eV/f.u..
Going through the records in order, we get DOS(E_F) values of 0.701 0.423 0.684 1.113 states/eV per atom.